Entry 1:
# Li2VSi3O8 (PBE+U, optimized geometry)
data_Li2VSi3O8
_chemical_formula_sum 'Li8 V4 Si12 O32'
_space_group_name_H-M_alt 'P 43 3 2'
_space_group_IT_number 212
_space_group_name_Hall 'P 4acd 2ab 3'
_cell_length_a 8.044
_cell_length_b 8.044
_cell_length_c 8.044
_cell_angle_alpha 90.00
_cell_angle_beta 90.00
_cell_angle_gamma 90.00
loop_
_atom_site_label
_atom_site_fract_x
_atom_site_fract_y
_atom_site_fract_z
Li1 0.009 0.009 0.009
V1 0.125 0.875 0.375
Si1 0.110 0.140 0.625
O1 0.080 0.138 0.402
O2 0.121 0.621 0.879
# - calculated volume (A^3/atom) = 9.30
# - M_tot (μB per formula unit) = 3.00
# - electronic total energy (eV for the cell shown) = -405.6

Entry 2:
# Li2VSi4O11 (PBE+U, optimized geometry)
data_Li2VSi4O11
_chemical_formula_sum 'Li8 V4 Si16 O44'
_space_group_name_H-M_alt 'C 1 2/c 1'
_space_group_IT_number 15
_cell_length_a 10.754
_cell_length_b 9.740
_cell_length_c 8.184
_cell_angle_alpha 90.00
_cell_angle_beta 101.44
_cell_angle_gamma 90.00
loop_
_space_group_symop_operation_xyz
'x,y,z'
'-x,-y,-z'
'-x,y,-z+1/2'
'x,-y,z+1/2'
'x+1/2,y+1/2,z'
'-x+1/2,-y+1/2,-z'
'-x+1/2,y+1/2,-z+1/2'
'x+1/2,-y+1/2,z+1/2'
loop_
_atom_site_label
_atom_site_fract_x
_atom_site_fract_y
_atom_site_fract_z
Li1 0.000 0.074 0.250
Li2 0.000 0.347 0.250
V1 0.250 0.250 0.500
Si1 0.046 0.201 0.939
Si2 0.210 0.435 0.846
O1 0.000 0.133 0.750
O2 0.060 0.199 0.445
O3 0.097 0.356 0.920
O4 0.154 0.094 0.028
O5 0.183 0.402 0.331
O6 0.221 0.363 0.669
# - polymorph energy (0 for the lowest one) (kJ/mol of formula units) = 0
# - calculated volume (A^3/atom) = 11.67
# - M_tot (μB per formula unit) = 1.00

Entry 3:
# Li2VSi6O15 (PBE+U, optimized geometry)
data_Li2VSi6O15
_chemical_formula_sum 'Li8 V4 Si24 O60'
_space_group_name_H-M_alt 'I m m a'
_space_group_IT_number 74
_space_group_name_Hall '-I 2b 2'
_cell_length_a 7.982
_cell_length_b 14.705
_cell_length_c 10.061
_cell_angle_alpha 90.00
_cell_angle_beta 90.00
_cell_angle_gamma 90.00
loop_
_atom_site_label
_atom_site_fract_x
_atom_site_fract_y
_atom_site_fract_z
Li1 0.250 0.004 0.250
V1 0.000 0.000 0.000
Si1 0.000 0.148 0.273
Si2 0.187 0.145 0.534
O1 0.000 0.067 0.166
O2 0.000 0.125 0.599
O3 0.000 0.250 0.209
O4 0.164 0.134 0.371
O5 0.179 0.072 0.913
O6 0.242 0.250 0.567
# - polymorph energy (0 for the lowest one) (kJ/mol of formula units) = 72
# - calculated volume (A^3/atom) = 12.30
# - M_tot (μB per formula unit) = 1.00

Entry 4:
# LiVSiO4 (PBE+U, optimized geometry)
data_LiVSiO4
_chemical_formula_sum 'Li4 V4 Si4 O16'
_space_group_name_H-M_alt 'P 21 3'
_space_group_IT_number 198
_space_group_name_Hall 'P 2ac 2ab 3'
_cell_length_a 7.315
_cell_length_b 7.315
_cell_length_c 7.315
_cell_angle_alpha 90.00
_cell_angle_beta 90.00
_cell_angle_gamma 90.00
loop_
_atom_site_label
_atom_site_fract_x
_atom_site_fract_y
_atom_site_fract_z
Li1 0.246 0.246 0.246
V1 0.194 0.306 0.694
Si1 0.031 0.969 0.469
O1 0.027 0.884 0.679
O2 0.158 0.842 0.342
# - polymorph energy (0 for the lowest one) (kJ/mol of formula units) = 55
# - calculated volume (A^3/atom) = 13.98
# - M_tot (μB per formula unit) = 2.00

Entry 5:
# Li2VSi6O15 (PBE+U, optimized geometry)
data_Li2VSi6O15
_chemical_formula_sum 'Li2 V1 Si6 O15'
_space_group_name_H-M_alt 'P -1'
_space_group_IT_number 2
_cell_length_a 7.073
_cell_length_b 7.175
_cell_length_c 7.516
_cell_angle_alpha 94.32
_cell_angle_beta 109.82
_cell_angle_gamma 114.09
loop_
_space_group_symop_operation_xyz
'x,y,z'
'-x,-y,-z'
loop_
_atom_site_label
_atom_site_fract_x
_atom_site_fract_y
_atom_site_fract_z
Li1 0.249 0.192 0.491
V1 0.500 0.000 0.500
Si1 0.189 0.835 0.749
Si2 0.197 0.500 0.190
Si3 0.379 0.192 0.118
O1 0.000 0.500 0.000
O2 0.078 0.348 0.320
O3 0.217 0.026 0.904
O4 0.224 0.919 0.562
O5 0.332 0.090 0.292
O6 0.335 0.397 0.118
O7 0.356 0.734 0.850
O8 0.383 0.728 0.336
# - polymorph energy (0 for the lowest one) (kJ/mol of formula units) = 81
# - calculated volume (A^3/atom) = 13.22
# - M_tot (μB per formula unit) = 1.00

Entry 6:
# LiVSiO4 (PBE+U, optimized geometry)
data_LiVSiO4
_chemical_formula_sum 'Li4 V4 Si4 O16'
_space_group_name_H-M_alt 'I m m a'
_space_group_IT_number 74
_space_group_name_Hall '-I 2b 2'
_cell_length_a 5.649
_cell_length_b 5.953
_cell_length_c 7.924
_cell_angle_alpha 90.00
_cell_angle_beta 90.00
_cell_angle_gamma 90.00
loop_
_atom_site_label
_atom_site_fract_x
_atom_site_fract_y
_atom_site_fract_z
Li1 0.250 0.250 0.250
V1 0.000 0.000 0.000
Si1 0.000 0.250 0.632
O1 0.000 0.019 0.748
O2 0.242 0.250 0.507
# - polymorph energy (0 for the lowest one) (kJ/mol of formula units) = 31
# - calculated volume (A^3/atom) = 9.52
# - M_tot (μB per formula unit) = 2.00

Entry 7:
# LiVSiO4 (PBE+U, optimized geometry)
data_LiVSiO4
_chemical_formula_sum 'Li2 V2 Si2 O8'
_space_group_name_H-M_alt 'I -4'
_space_group_IT_number 82
_cell_length_a 4.861
_cell_length_b 4.861
_cell_length_c 7.694
_cell_angle_alpha 90.00
_cell_angle_beta 90.00
_cell_angle_gamma 90.00
loop_
_space_group_symop_operation_xyz
'x,y,z'
'y,-x,-z'
'-x,-y,z'
'-y,x,-z'
'x+1/2,y+1/2,z+1/2'
'y+1/2,-x+1/2,-z+1/2'
'-x+1/2,-y+1/2,z+1/2'
'-y+1/2,x+1/2,-z+1/2'
loop_
_atom_site_label
_atom_site_fract_x
_atom_site_fract_y
_atom_site_fract_z
Li1 0.000 0.000 0.000
V1 0.000 0.000 0.500
Si1 0.000 0.500 0.750
O1 0.184 0.707 0.627
# - polymorph energy (0 for the lowest one) (kJ/mol of formula units) = 56
# - calculated volume (A^3/atom) = 12.99
# - M_tot (μB per formula unit) = 2.00

Entry 8:
# LiVSiO4 (PBE+U, optimized geometry)
data_LiVSiO4
_chemical_formula_sum 'Li8 V8 Si8 O32'
_space_group_name_H-M_alt 'P c a 21'
_space_group_IT_number 29
_cell_length_a 10.328
_cell_length_b 5.169
_cell_length_c 13.644
_cell_angle_alpha 90.00
_cell_angle_beta 90.00
_cell_angle_gamma 90.00
loop_
_space_group_symop_operation_xyz
'x,y,z'
'-x,-y,z+1/2'
'-x+1/2,y,z+1/2'
'x+1/2,-y,z'
loop_
_atom_site_label
_atom_site_fract_x
_atom_site_fract_y
_atom_site_fract_z
Li1 0.035 0.065 0.000
Li2 0.210 0.552 0.250
V1 0.034 0.920 0.750
V2 0.215 0.557 0.998
Si1 0.035 0.430 0.623
Si2 0.216 0.054 0.375
O1 0.005 0.117 0.631
O2 0.025 0.431 0.222
O3 0.038 0.452 0.025
O4 0.059 0.000 0.370
O5 0.191 0.491 0.617
O6 0.217 0.924 0.973
O7 0.218 0.916 0.778
O8 0.247 0.367 0.378
# - polymorph energy (0 for the lowest one) (kJ/mol of formula units) = 46
# - calculated volume (A^3/atom) = 13.01
# - M_tot (μB per formula unit) = 2.00

Entry 9:
# LiVSiO5 (PBE+U, optimized geometry)
data_LiVSiO5
_chemical_formula_sum 'Li2 V2 Si2 O10'
_space_group_name_H-M_alt 'P 1 21/m 1'
_space_group_IT_number 11
_cell_length_a 4.742
_cell_length_b 6.266
_cell_length_c 6.405
_cell_angle_alpha 90.00
_cell_angle_beta 94.02
_cell_angle_gamma 90.00
loop_
_space_group_symop_operation_xyz
'x,y,z'
'-x,-y,-z'
'-x,y+1/2,-z'
'x,-y+1/2,z'
loop_
_atom_site_label
_atom_site_fract_x
_atom_site_fract_y
_atom_site_fract_z
Li1 0.000 0.000 0.000
V1 0.400 0.250 0.750
Si1 0.484 0.750 0.754
O1 0.257 0.750 0.197
O2 0.274 0.250 0.050
O3 0.282 0.537 0.766
O4 0.358 0.250 0.466
# - polymorph energy (0 for the lowest one) (kJ/mol of formula units) = 0
# - calculated volume (A^3/atom) = 11.86
# - M_tot (μB per formula unit) = 0.00

Entry 10:
# Li4V2SiO8 (PBE+U, optimized geometry)
data_Li4V2SiO8
_chemical_formula_sum 'Li16 V8 Si4 O32'
_space_group_name_H-M_alt 'P 1 21/c 1'
_space_group_IT_number 14
_cell_length_a 8.277
_cell_length_b 10.937
_cell_length_c 8.279
_cell_angle_alpha 90.00
_cell_angle_beta 103.34
_cell_angle_gamma 90.00
loop_
_space_group_symop_operation_xyz
'x,y,z'
'-x,-y,-z'
'-x,y+1/2,-z+1/2'
'x,-y+1/2,z+1/2'
loop_
_atom_site_label
_atom_site_fract_x
_atom_site_fract_y
_atom_site_fract_z
Li1 0.044 0.078 0.285
Li2 0.103 0.169 0.596
Li3 0.165 0.666 0.672
Li4 0.361 0.162 0.341
V1 0.211 0.086 0.968
V2 0.264 0.589 0.051
Si1 0.412 0.666 0.425
O1 0.045 0.086 0.790
O2 0.095 0.666 0.095
O3 0.168 0.158 0.142
O4 0.244 0.062 0.482
O5 0.280 0.582 0.501
O6 0.335 0.694 0.896
O7 0.406 0.171 0.942
O8 0.440 0.615 0.246
# - calculated volume (A^3/atom) = 12.15
# - M_tot (μB per formula unit) = 2.00
# - electronic total energy (eV for the cell shown) = -403.0